The following is a DFT calculation (GGA-PBE) of a geometry-optimized LaLuZr structure.

Properties
Formation energy: 0.11 eV/atom
Energy relative to the lowest polymorph listed for this composition: 12 meV/atom
ρ: 7.8 Mg/m³

Structure (POSCAR):
```
LaLuZr
1.0
-2.342 0.767 -2.399
2.753 -1.888 -0.827
-4.254 -7.039 1.901
Lu Zr La
1 1 1
Cartesian
-1.690 -5.544 -0.124 Lu
-2.088 -2.508 -1.229 Zr
-0.065 -0.107 0.029 La
```